Density functional theory data (SCAN) for a crystal of IrOs3 relaxed with PBEsol.

Summary:
space group = No. 44
energy of formation from the pure elements = 0.029 eV per formula unit

Lattice parameters (Å, degrees): 2.727 4.730 5.114 117.55 105.46 90.00
Fractional positions:
Os1 0.248 0.582 0.497
Os2 0.752 0.085 0.503
Os3 0.500 0.501 0.000
Ir1 0.000 0.999 0.000